(1)
Entry from the Alexandria database: an optimized crystal structure of Th2SnRh (PBE).

POSCAR file:
```
Th2SnRh
1.0
3.457 0.000 0.000
0.000 3.457 0.000
0.000 0.000 8.528
Th Sn Rh
2 1 1
Cartesian
0.000 0.000 1.845
0.000 0.000 6.683
1.728 1.728 4.264
1.728 1.728 0.000
```

SG ... P4/mmm
Excess energy over the best structure of this formula in the dataset ... 0.0 meV/atom

(2)
Entry from the Alexandria database: an optimized crystal structure of Th2Sn8Rh (PBE).

POSCAR file:
```
Th2Sn8Rh
1.0
4.772 0.000 0.000
0.000 4.772 0.000
0.000 0.000 12.347
Th Sn Rh
2 8 1
Cartesian
0.000 0.000 2.283
0.000 0.000 10.063
0.000 2.386 0.000
0.000 2.386 4.659
0.000 2.386 7.688
2.386 0.000 0.000
2.386 0.000 4.659
2.386 0.000 7.688
2.386 2.386 2.399
2.386 2.386 9.947
0.000 0.000 6.173
```

SG ... P4/mmm

Formation energy? In order: -2.48, -4.42 eV/f.u..